# 1
Entry from Alexandria via LeMat-Bulk: NpBi2Pd9 after structural relaxation (GGA-PBE).

Cell and atoms, written as POSCAR:
```
NpBi2Pd9
1.0
4.1630 0.0000 0.0000
0.0000 4.1630 0.0000
0.0000 0.0000 12.3430
Np Bi Pd
1 2 9
Direct
0.0000 0.0000 0.0000
0.0000 0.0000 0.3347
0.0000 0.0000 0.6653
0.0000 0.5000 0.1627
0.0000 0.5000 0.5000
0.0000 0.5000 0.8373
0.5000 0.0000 0.1627
0.5000 0.0000 0.5000
0.5000 0.0000 0.8373
0.5000 0.5000 0.0000
0.5000 0.5000 0.3341
0.5000 0.5000 0.6659
```

Output
Calculated formation energy: -305 meV per atom
Total DFT energy (no corrections): -0.218 Ha/atom
Symmetry: P4/mmm

---

# 2
Entry from Alexandria via LeMat-Bulk: LaTeAsI2 after structural relaxation (GGA-PBE).

Cell and atoms, written as POSCAR:
```
LaTeAsI2
1.0
6.2260 0.0000 0.0000
0.0000 6.2260 0.0000
0.0000 0.0000 6.3851
La Te As I
1 1 1 2
Direct
0.0000 0.0000 0.0000
0.0000 0.0000 0.5000
0.5000 0.5000 0.5000
0.0000 0.5000 0.0000
0.5000 0.0000 0.0000
```

Output
Total DFT energy (no corrections): -0.126 Ha/atom
ΔE_f (raw): -6.19 kcal/mol of atoms
Symmetry: P4/mmm

---

# 3
Entry from Alexandria via LeMat-Bulk: BaAsO after structural relaxation (GGA-PBE).

Cell and atoms, written as POSCAR:
```
BaAsO
1.0
2.0801 -8.2837 0.0000
2.0801 8.2837 0.0000
0.0000 0.0000 3.9956
Ba As O
2 2 2
Direct
0.1600 0.8400 0.7500
0.8400 0.1600 0.2500
0.4465 0.5535 0.7500
0.5535 0.4465 0.2500
0.3196 0.6804 0.7500
0.6804 0.3196 0.2500
```

Output
Total DFT energy (no corrections): -0.196 Ha/atom
ΔE_f (raw): -34.23 kcal/mol of atoms
Symmetry: Cmcm

---

# 4
Entry from Alexandria via LeMat-Bulk: BaLiPu2Se4 after structural relaxation (GGA-PBE).

Cell and atoms, written as POSCAR:
```
BaLiPu2Se4
1.0
2.1453 -7.0411 0.0000
2.1453 7.0411 0.0000
0.0000 0.0000 14.5027
Ba Li Pu Se
2 2 4 8
Direct
0.1142 0.8858 0.7500
0.8858 0.1142 0.2500
0.1538 0.8462 0.2500
0.8462 0.1538 0.7500
0.3685 0.6315 0.5572
0.3685 0.6315 0.9428
0.6315 0.3685 0.0572
0.6315 0.3685 0.4428
0.0000 0.0000 0.0000
0.0000 0.0000 0.5000
0.2641 0.7359 0.1149
0.2641 0.7359 0.3851
0.4386 0.5614 0.7500
0.5614 0.4386 0.2500
0.7359 0.2641 0.6149
0.7359 0.2641 0.8851
```

Output
Total DFT energy (no corrections): -0.273 Ha/atom
ΔE_f (raw): -37.24 kcal/mol of atoms
Symmetry: Cmcm

---

# 5
Entry from Alexandria via LeMat-Bulk: TbCeCdPb after structural relaxation (GGA-PBE).

Cell and atoms, written as POSCAR:
```
TbCeCdPb
1.0
0.0000 3.8370 3.8370
3.8370 0.0000 3.8370
3.8370 3.8370 0.0000
Tb Ce Cd Pb
1 1 1 1
Direct
0.0000 0.0000 0.0000
0.5000 0.5000 0.5000
0.2500 0.2500 0.2500
0.7500 0.7500 0.7500
```

Output
Calculated formation energy: -329 meV per atom
Total DFT energy (no corrections): -0.152 Ha/atom
Symmetry: F-43m

---

# 6
Entry from Alexandria via LeMat-Bulk: TmGaNiAg after structural relaxation (GGA-PBE).

Cell and atoms, written as POSCAR:
```
TmGaNiAg
1.0
0.0000 3.2686 3.2686
3.2686 0.0000 3.2686
3.2686 3.2686 0.0000
Tm Ga Ni Ag
1 1 1 1
Direct
0.0000 0.0000 0.0000
0.5000 0.5000 0.5000
0.7500 0.7500 0.7500
0.2500 0.2500 0.2500
```

Output
Calculated formation energy: -313 meV per atom
Total DFT energy (no corrections): -0.160 Ha/atom
Symmetry: F-43m

---

# 7
Entry from Alexandria via LeMat-Bulk: PrY2Tm6 after structural relaxation (GGA-PBE).

Cell and atoms, written as POSCAR:
```
PrY2Tm6
1.0
3.5766 0.0000 0.0000
-1.7883 3.0975 0.0000
0.0000 0.0000 25.8970
Pr Y Tm
1 2 6
Direct
0.0000 0.0000 0.0000
0.3333 0.6667 0.3285
0.3333 0.6667 0.6715
0.0000 0.0000 0.2193
0.0000 0.0000 0.4358
0.0000 0.0000 0.5642
0.0000 0.0000 0.7807
0.3333 0.6667 0.1133
0.3333 0.6667 0.8867
```

Output
Calculated formation energy: 57 meV per atom
Total DFT energy (no corrections): -0.180 Ha/atom
Symmetry: P-6m2

---

# 8
Entry from Alexandria via LeMat-Bulk: LiTa2Ag after structural relaxation (GGA-PBE).

Cell and atoms, written as POSCAR:
```
LiTa2Ag
1.0
2.9659 0.0000 0.0000
0.0000 3.7853 0.0000
0.0000 0.0000 6.1579
Li Ta Ag
1 2 1
Direct
0.0000 0.0000 0.0000
0.0000 0.0000 0.5098
0.5000 0.5000 0.2691
0.5000 0.5000 0.7928
```

Output
Calculated formation energy: 275 meV per atom
Total DFT energy (no corrections): -0.251 Ha/atom
Symmetry: Pmm2